[1]
First-principles (PBE-GGA) data for crystalline CeDy2Ta at its relaxed geometry, as listed in the Alexandria database.

a = 3.2136 Å, b = 3.2136 Å, c = 35.0489 Å
α = 90.00°, β = 90.00°, γ = 120.00°
Space group R-3m (No. 166, hexagonal axes)
One atom of each set of equivalent atoms:
Ce1 0.0000 0.0000 0.0000 (multiplicity 3)
Dy1 0.0000 0.0000 0.4161 (multiplicity 6)
Ta1 0.0000 0.0000 0.5000 (multiplicity 3)

[2]
First-principles (PBE-GGA) data for crystalline Tb2CeDy6 at its relaxed geometry, as listed in the Alexandria database.

a = 7.2755 Å, b = 7.2755 Å, c = 18.8972 Å
α = 90.00°, β = 90.00°, γ = 120.00°
Space group R3m (No. 160, hexagonal axes)
One atom of each set of equivalent atoms:
Tb1 0.0000 0.0000 0.0000 (multiplicity 3)
Tb2 0.0000 0.0000 0.1770 (multiplicity 3)
Ce1 0.0000 0.0000 0.4379 (multiplicity 3)
Dy1 0.1726 0.3453 0.3238 (multiplicity 9)
Dy2 0.1846 0.3693 0.5174 (multiplicity 9)

[3]
First-principles (PBE-GGA) data for crystalline Tb2CeDy at its relaxed geometry, as listed in the Alexandria database.

a = 9.502 Å, b = 8.689 Å, c = 6.178 Å
α = 90.00°, β = 90.00°, γ = 90.00°
Space group Cmcm (No. 63)
One atom of each set of equivalent atoms:
Tb1 0.186 0.163 0.250 (multiplicity 8)
Ce1 0.000 0.500 0.000 (multiplicity 4)
Dy1 0.000 0.160 0.750 (multiplicity 4)

The offset from the most stable computed form is 51 kJ/mol of formula units.

[4]
First-principles (PBE-GGA) data for crystalline Tb12CeDy5 at its relaxed geometry, as listed in the Alexandria database.

a = 15.077 Å, b = 15.079 Å, c = 5.027 Å
α = 90.00°, β = 90.00°, γ = 90.00°
Space group Cmmm (No. 65)
One atom of each set of equivalent atoms:
Tb1 0.165 0.000 0.000 (multiplicity 4)
Tb2 0.166 0.167 0.500 (multiplicity 8)
Tb3 0.166 0.334 0.000 (multiplicity 8)
Tb4 0.167 0.500 0.500 (multiplicity 4)
Ce1 0.000 0.000 0.500 (multiplicity 2)
Dy1 0.000 0.166 0.000 (multiplicity 4)
Dy2 0.000 0.333 0.500 (multiplicity 4)
Dy3 0.000 0.500 0.000 (multiplicity 2)

[5]
First-principles (PBE-GGA) data for crystalline TbCeDy5 at its relaxed geometry, as listed in the Alexandria database.

a = 6.198 Å, b = 6.465 Å, c = 6.478 Å
α = 117.06°, β = 95.95°, γ = 96.04°
Space group P-1 (No. 2)
One atom of each set of equivalent atoms:
Tb1 0.000 0.000 0.000 (multiplicity 1)
Ce1 0.000 0.500 0.500 (multiplicity 1)
Dy1 0.000 0.500 0.000 (multiplicity 1)
Dy2 0.270 0.081 0.579 (multiplicity 2)
Dy3 0.500 0.313 0.189 (multiplicity 2)

[6]
First-principles (PBE-GGA) data for crystalline Tb8CeDy2 at its relaxed geometry, as listed in the Alexandria database.

a = 18.136 Å, b = 5.026 Å, c = 7.950 Å
α = 90.00°, β = 105.24°, γ = 90.00°
Space group C2/m (No. 12)
One atom of each set of equivalent atoms:
Tb1 0.045 0.000 0.231 (multiplicity 4)
Tb2 0.091 0.500 0.954 (multiplicity 4)
Tb3 0.136 0.000 0.681 (multiplicity 4)
Tb4 0.181 0.500 0.409 (multiplicity 4)
Ce1 0.000 0.500 0.500 (multiplicity 2)
Dy1 0.228 0.000 0.137 (multiplicity 4)

The offset from the most stable computed form is 0 kJ/mol of formula units.

| no. | formation enthalpy at 0 K (eV per atom) | total energy (eV per atom) |
| --- | --- | --- |
| 1 | 0.584 | -6.1642 |
| 2 | 0.300 | -4.4564 |
| 3 | 0.189 | -4.7606 |
| 4 | 0.028 | -4.6666 |
| 5 | 0.223 | -4.5733 |
| 6 | 0.036 | -4.7075 |